Below is a relaxed TbSm2YHo5 crystal, with properties calculated at the PBE level.

Cell lengths 8.625, 8.625, 15.527 Å; angles 90.00, 90.00, 90.00 degrees
Space group I4/mcm (No. 140)
Asymmetric unit:
Tb (0.000, 0.500, 0.250) [4 per cell]
Sm (0.117, 0.383, 0.000) [8 per cell]
Y (0.000, 0.000, 0.250) [4 per cell]
Ho (0.000, 0.000, 0.000) [4 per cell]
Ho (0.210, 0.290, 0.361) [16 per cell]

Values from the calculation:
total moment: 0.0 μB per formula unit
density: 7.90 g/cm3
DFT formation energy: 239 kJ/mol of formula units